DFT (GGA-PBE) results for a relaxed structure of CePmNdEu.

a b c (Å): 5.866 5.866 5.866
angles (deg): 60.00 60.00 60.00
Fractional positions:
Ce 0.000 0.000 0.000
Pm 0.750 0.750 0.750
Nd 0.250 0.250 0.250
Eu 0.500 0.500 0.500

Values from the calculation:
E_form	0.231	eV per atom
ρ	6.76	g cm⁻³
SG	F-43m (216)
crystal system	cubic

DFT (GGA-PBE) results for a relaxed structure of CePrNdEu.

a b c (Å): 5.886 5.886 5.886
angles (deg): 60.00 60.00 60.00
Fractional positions:
Ce 0.000 0.000 0.000
Pr 0.750 0.750 0.750
Nd 0.250 0.250 0.250
Eu 0.500 0.500 0.500

Values from the calculation:
E_form	0.227	eV per atom
ρ	6.65	g cm⁻³
SG	F-43m (216)
crystal system	cubic

DFT (GGA-PBE) results for a relaxed structure of TbCeNdEu.

a b c (Å): 5.818 5.818 5.818
angles (deg): 60.00 60.00 60.00
Fractional positions:
Tb 0.000 0.000 0.000
Ce 0.750 0.750 0.750
Nd 0.500 0.500 0.500
Eu 0.250 0.250 0.250

Values from the calculation:
E_form	0.232	eV per atom
ρ	7.10	g cm⁻³
SG	F-43m (216)
crystal system	cubic

DFT (GGA-PBE) results for a relaxed structure of CeNdEuTl.

a b c (Å): 5.613 5.613 5.613
angles (deg): 60.00 60.00 60.00
Fractional positions:
Ce 0.000 0.000 0.000
Nd 0.500 0.500 0.500
Eu 0.750 0.750 0.750
Tl 0.250 0.250 0.250

Values from the calculation:
E_form	-0.025	eV per atom
ρ	8.51	g cm⁻³
SG	F-43m (216)
crystal system	cubic

DFT (GGA-PBE) results for a relaxed structure of CeNdEuTm.

a b c (Å): 5.789 5.789 5.789
angles (deg): 60.00 60.00 60.00
Fractional positions:
Ce 0.000 0.000 0.000
Nd 0.750 0.750 0.750
Eu 0.500 0.500 0.500
Tm 0.250 0.250 0.250

Values from the calculation:
E_form	0.230	eV per atom
ρ	7.33	g cm⁻³
SG	F-43m (216)
crystal system	cubic

DFT (GGA-PBE) results for a relaxed structure of CeNdEuY.

a b c (Å): 5.829 5.829 5.829
angles (deg): 60.00 60.00 60.00
Fractional positions:
Ce 0.000 0.000 0.000
Nd 0.750 0.750 0.750
Eu 0.500 0.500 0.500
Y 0.250 0.250 0.250

Values from the calculation:
E_form	0.228	eV per atom
ρ	6.23	g cm⁻³
SG	F-43m (216)
crystal system	cubic